First-principles (PBE-GGA) data for a relaxed Ag5Ge2Cl12 crystal, as listed in the Alexandria database.

Geometry as CIF:
```
data_Ag5Ge2Cl12
_cell_length_a 7.948
_cell_length_b 7.948
_cell_length_c 9.771
_cell_angle_alpha 103.41
_cell_angle_beta 103.41
_cell_angle_gamma 54.99
_symmetry_space_group_name_H-M 'P 1'
_symmetry_Int_Tables_number 1
loop_
_symmetry_equiv_pos_as_xyz
'x,y,z'
loop_
_atom_site_label
_atom_site_type_symbol
_atom_site_fract_x
_atom_site_fract_y
_atom_site_fract_z
_atom_site_occupancy
Ag1 Ag 0.000 0.000 0.000 1
Ag2 Ag 0.290 0.290 0.785 1
Ag3 Ag 0.297 0.297 0.120 1
Ag4 Ag 0.703 0.703 0.880 1
Ag5 Ag 0.710 0.710 0.215 1
Ge1 Ge 0.250 0.750 0.500 1
Ge2 Ge 0.750 0.250 0.500 1
Cl1 Cl 0.047 0.047 0.360 1
Cl2 Cl 0.083 0.585 0.344 1
Cl3 Cl 0.109 0.623 0.960 1
Cl4 Cl 0.377 0.891 0.040 1
Cl5 Cl 0.415 0.917 0.656 1
Cl6 Cl 0.450 0.450 0.655 1
Cl7 Cl 0.550 0.550 0.345 1
Cl8 Cl 0.585 0.083 0.344 1
Cl9 Cl 0.623 0.109 0.960 1
Cl10 Cl 0.891 0.377 0.040 1
Cl11 Cl 0.917 0.415 0.656 1
Cl12 Cl 0.953 0.953 0.640 1
```

Properties
* volume: 25.7 Å³/atom
* magnetization: 0.00 μB/cell
* formation energy (no corrections): -9.70 eV/f.u.
* space-group type: C2/m